Compound: AcPmNd2Sb4
Source: Alexandria
Functional: PBE-GGA
Structure: optimized geometry

Cell lengths 4.591, 7.948, 7.948 Å; angles 70.57, 90.00, 90.00 degrees
Fractional positions:
Sb 0.000 0.759 0.740
Sb 0.500 0.753 0.256
Sb 0.500 0.247 0.744
Sb 0.000 0.241 0.260
Nd 0.500 0.000 0.500
Nd 0.000 0.000 0.000
Ac 0.500 0.500 0.000
Pm 0.000 0.500 0.500

Summary:
Its total energy is -44.30 eV for the cell shown. As for the raw formation energy: -113.6 kJ per mole of atoms.

=====

Compound: AcPmNdSc
Source: Alexandria
Functional: PBE-GGA
Structure: optimized geometry

Cell lengths 5.797, 5.797, 5.797 Å; angles 60.00, 60.00, 60.00 degrees
Fractional positions:
Sc 0.000 0.000 0.000
Nd 0.750 0.750 0.750
Ac 0.250 0.250 0.250
Pm 0.500 0.500 0.500

Summary:
Its total energy is -19.42 eV for the cell shown. For the formation energy, the calculation gives 135.1 meV/atom.

=====

Compound: AcPm2NdSe4
Source: Alexandria
Functional: PBE-GGA
Structure: optimized geometry

Cell lengths 4.223, 7.462, 7.410 Å; angles 71.12, 90.00, 90.00 degrees
Fractional positions:
Se 0.000 0.763 0.739
Se 0.000 0.237 0.261
Se 0.500 0.242 0.747
Se 0.500 0.758 0.253
Pm 0.000 0.000 0.000
Pm 0.500 0.000 0.500
Ac 0.500 0.500 0.000
Nd 0.000 0.500 0.500

Summary:
Its total energy is -46.96 eV for the cell shown. As for the raw formation energy: -176.7 kJ per mole of atoms.

=====

no.,volume (Å³ per atom)
1,34.2
2,34.4
3,27.6